[1]
The following is a PBEsol calculation of a relaxed Ca2ScW crystal, from Alexandria via LeMat-Bulk.

Lattice parameters (Å, degrees): 4.3740 4.3740 4.9039 90.00 90.00 90.00
Last column: nearest neighbours and their distance in Å.
Fractional coordinates of all 4 atoms:
1 Ca 0.0000 0.5000 0.0000  4 Ca 3.09, 4 W 3.29, 4 Sc 3.29
2 Ca 0.5000 0.0000 0.0000  4 Ca 3.09, 4 W 3.29, 4 Sc 3.29
3 Sc 0.5000 0.5000 0.5000  4 W 3.09, 8 Ca 3.29
4 W 0.0000 0.0000 0.5000  4 Sc 3.09, 8 Ca 3.29

Results
The volume comes out at 93.82 Å³/cell. Its formation enthalpy at 0 K is 0.835 eV/atom. Its crystal system is tetragonal. The value obtained for the polymorph energy (0 for the lowest one) is 59 meV per atom. The total magnetization is 0.00 Bohr magnetons per cell.

[2]
The following is a PBEsol calculation of a relaxed CaScW crystal, from Alexandria via LeMat-Bulk.

Lattice parameters (Å, degrees): 2.7065 5.0879 5.0879 120.00 90.00 90.00
Last column: nearest neighbours and their distance in Å.
Fractional coordinates of all 3 atoms:
1 Sc 0.0000 0.3333 0.6667  2 Sc 2.71, 3 Ca 2.94
2 Ca 0.0000 0.0000 0.0000  2 Ca 2.71, 3 Sc 2.94
3 W 0.5000 0.6667 0.3333  2 W 2.71

Results
The volume comes out at 60.68 Å³/cell. Its formation enthalpy at 0 K is 0.675 eV/atom. Its crystal system is hexagonal. The total magnetization is 0.00 Bohr magnetons per cell.